AcLa4Tm3 after structural relaxation, computed with PBE.

Fermi-level density of states (states/eV/atom): 1.54
Raw total energy (eV/cell): -36.43
M_tot (μB/cell): 0.00

a = 8.866 Å, b = 8.866 Å, c = 6.153 Å
α = 109.45°, β = 109.45°, γ = 38.91°
Atoms (fractional coordinates):
1 Ac 0.000 0.000 0.000
2 La 0.139 0.139 0.596
3 La 0.262 0.262 0.198
4 La 0.738 0.738 0.802
5 La 0.861 0.861 0.404
6 Tm 0.368 0.368 0.814
7 Tm 0.500 0.500 0.500
8 Tm 0.632 0.632 0.186

---

LaBe2Tc after structural relaxation, computed with PBE.

ΔE to the lowest computed polymorph (eV per atom): 0.632
Fermi-level density of states (states/eV/atom): 0.84
Raw total energy (eV/cell): -20.26
M_tot (μB/cell): 0.00

a = 4.521 Å, b = 4.521 Å, c = 4.521 Å
α = 60.00°, β = 60.00°, γ = 60.00°
Atoms (fractional coordinates):
1 La 0.000 0.000 0.000
2 Be 0.250 0.250 0.250
3 Be 0.500 0.500 0.500
4 Tc 0.750 0.750 0.750

---

CsBr3Cl after structural relaxation, computed with PBE.

ΔE to the lowest computed polymorph (eV per atom): 0.691
Fermi-level density of states (states/eV/atom): 5.36
Uncorrected formation energy (kJ/mol of formula units): 29
Raw total energy (eV/cell): -7.42
M_tot (μB/cell): 3.02

a = 7.183 Å, b = 7.183 Å, c = 7.183 Å
α = 90.00°, β = 90.00°, γ = 90.00°
Atoms (fractional coordinates):
1 Cs 0.000 0.000 0.000
2 Br 0.000 0.000 0.500
3 Br 0.000 0.500 0.000
4 Br 0.500 0.000 0.000
5 Cl 0.500 0.500 0.500

---

YCo2Sb after structural relaxation, computed with PBE.

Fermi-level density of states (states/eV/atom): 0.97
Uncorrected formation energy (kJ/mol of formula units): -82
Raw total energy (eV/cell): -25.65
M_tot (μB/cell): 1.99

a = 4.034 Å, b = 4.089 Å, c = 4.892 Å
α = 90.00°, β = 114.27°, γ = 90.00°
Atoms (fractional coordinates):
1 Y 0.000 0.000 0.000
2 Co 0.593 0.500 0.182
3 Co 0.703 0.000 0.416
4 Sb 0.294 0.500 0.585

---

ZrCd7Ag4 after structural relaxation, computed with PBE.

Fermi-level density of states (states/eV/atom): 0.55
Raw total energy (eV/cell): -24.20
M_tot (μB/cell): 0.08

a = 6.419 Å, b = 6.419 Å, c = 10.194 Å
α = 119.66°, β = 119.66°, γ = 49.32°
Atoms (fractional coordinates):
1 Zr 0.000 0.000 0.000
2 Cd 0.066 0.066 0.353
3 Cd 0.213 0.213 0.903
4 Cd 0.348 0.348 0.433
5 Cd 0.500 0.500 0.000
6 Cd 0.652 0.652 0.567
7 Cd 0.787 0.787 0.097
8 Cd 0.934 0.934 0.647
9 Ag 0.288 0.288 0.677
10 Ag 0.425 0.425 0.223
11 Ag 0.575 0.575 0.777
12 Ag 0.712 0.712 0.323

---

TlReHg2 after structural relaxation, computed with PBE.

ΔE to the lowest computed polymorph (eV per atom): 0.279
Fermi-level density of states (states/eV/atom): 0.88
Raw total energy (eV/cell): -11.89
M_tot (μB/cell): 0.00

a = 2.972 Å, b = 5.144 Å, c = 5.746 Å
α = 90.00°, β = 102.57°, γ = 90.00°
Atoms (fractional coordinates):
1 Tl 0.000 0.000 0.000
2 Re 0.000 0.000 0.500
3 Hg 0.353 0.500 0.731
4 Hg 0.647 0.500 0.269

---

Ga3TeAs after structural relaxation, computed with PBE.

ΔE to the lowest computed polymorph (eV per atom): 0.592
Fermi-level density of states (states/eV/atom): 0.60
Uncorrected formation energy (kJ/mol of formula units): 356
Raw total energy (eV/cell): -13.18
M_tot (μB/cell): 0.00

a = 5.376 Å, b = 5.376 Å, c = 5.376 Å
α = 90.00°, β = 90.00°, γ = 90.00°
Atoms (fractional coordinates):
1 Ga 0.000 0.000 0.500
2 Ga 0.000 0.500 0.000
3 Ga 0.500 0.000 0.000
4 Te 0.000 0.000 0.000
5 As 0.500 0.500 0.500

---

InB2PtS after structural relaxation, computed with PBE.

Fermi-level density of states (states/eV/atom): 0.42
Uncorrected formation energy (kJ/mol of formula units): 539
Raw total energy (eV/cell): -20.67
M_tot (μB/cell): 0.00

a = 3.951 Å, b = 3.951 Å, c = 4.994 Å
α = 90.00°, β = 90.00°, γ = 90.00°
Atoms (fractional coordinates):
1 In 0.000 0.000 0.000
2 B 0.000 0.500 0.500
3 B 0.500 0.000 0.500
4 Pt 0.500 0.500 0.000
5 S 0.500 0.500 0.500

---

Nb5Os after structural relaxation, computed with PBE.

ΔE to the lowest computed polymorph (eV per atom): 0.054
Fermi-level density of states (states/eV/atom): 0.82
Raw total energy (eV/cell): -62.44
M_tot (μB/cell): 0.00

a = 3.260 Å, b = 3.260 Å, c = 9.859 Å
α = 90.00°, β = 90.00°, γ = 90.00°
Atoms (fractional coordinates):
1 Nb 0.000 0.000 0.000
2 Nb 0.000 0.000 0.340
3 Nb 0.000 0.000 0.660
4 Nb 0.500 0.500 0.169
5 Nb 0.500 0.500 0.831
6 Os 0.500 0.500 0.500

---

Nd2ZnBPt6 after structural relaxation, computed with PBE.

Fermi-level density of states (states/eV/atom): 0.33
Raw total energy (eV/cell): -62.34
M_tot (μB/cell): 0.00

a = 7.359 Å, b = 7.359 Å, c = 7.359 Å
α = 45.49°, β = 45.49°, γ = 45.49°
Atoms (fractional coordinates):
1 Nd 0.211 0.211 0.211
2 Nd 0.789 0.789 0.789
3 Zn 0.500 0.500 0.500
4 B 0.000 0.000 0.000
5 Pt 0.236 0.236 0.720
6 Pt 0.236 0.720 0.236
7 Pt 0.280 0.764 0.764
8 Pt 0.720 0.236 0.236
9 Pt 0.764 0.280 0.764
10 Pt 0.764 0.764 0.280

---

PrHoTe2Br after structural relaxation, computed with PBE.

Fermi-level density of states (states/eV/atom): 0.32
Uncorrected formation energy (kJ/mol of formula units): -689
Raw total energy (eV/cell): -48.92
M_tot (μB/cell): 0.00

a = 4.450 Å, b = 4.450 Å, c = 15.126 Å
α = 90.00°, β = 90.00°, γ = 90.00°
Atoms (fractional coordinates):
1 Pr 0.250 0.250 0.144
2 Pr 0.750 0.750 0.856
3 Ho 0.250 0.250 0.584
4 Ho 0.750 0.750 0.416
5 Te 0.250 0.250 0.381
6 Te 0.250 0.250 0.790
7 Te 0.750 0.750 0.210
8 Te 0.750 0.750 0.619
9 Br 0.250 0.750 0.000
10 Br 0.750 0.250 0.000

---

BC2 after structural relaxation, computed with PBE.

ΔE to the lowest computed polymorph (eV per atom): 0.120
Fermi-level density of states (states/eV/atom): 0.21
Raw total energy (eV/cell): -96.18
M_tot (μB/cell): 0.00

a = 2.621 Å, b = 2.621 Å, c = 14.317 Å
α = 90.00°, β = 90.00°, γ = 120.00°
Atoms (fractional coordinates):
1 B 0.000 0.000 0.000
2 B 0.000 0.000 0.241
3 B 0.000 0.000 0.681
4 B 0.667 0.333 0.522
5 C 0.000 0.000 0.571
6 C 0.333 0.667 0.255
7 C 0.333 0.667 0.374
8 C 0.333 0.667 0.729
9 C 0.333 0.667 0.834
10 C 0.667 0.333 0.408
11 C 0.667 0.333 0.871
12 C 0.667 0.333 0.985

---

CoTcMo after structural relaxation, computed with PBE.

ΔE to the lowest computed polymorph (eV per atom): 0.528
Fermi-level density of states (states/eV/atom): 1.25
Raw total energy (eV/cell): -26.44
M_tot (μB/cell): 0.81

a = 4.025 Å, b = 4.025 Å, c = 4.025 Å
α = 60.00°, β = 60.00°, γ = 60.00°
Atoms (fractional coordinates):
1 Co 0.000 0.000 0.000
2 Tc 0.750 0.750 0.750
3 Mo 0.250 0.250 0.250

---

Hf3SbMo after structural relaxation, computed with PBE.

ΔE to the lowest computed polymorph (eV per atom): 0.856
Fermi-level density of states (states/eV/atom): 1.91
Uncorrected formation energy (kJ/mol of formula units): 300
Raw total energy (eV/cell): -41.70
M_tot (μB/cell): 0.00

a = 5.014 Å, b = 5.014 Å, c = 5.014 Å
α = 90.00°, β = 90.00°, γ = 90.00°
Atoms (fractional coordinates):
1 Hf 0.000 0.000 0.500
2 Hf 0.000 0.500 0.000
3 Hf 0.500 0.000 0.000
4 Sb 0.500 0.500 0.500
5 Mo 0.000 0.000 0.000

---

ZnAg2Mo after structural relaxation, computed with PBE.

Fermi-level density of states (states/eV/atom): 0.70
Raw total energy (eV/cell): -16.31
M_tot (μB/cell): 0.59

a = 2.691 Å, b = 4.534 Å, c = 5.490 Å
α = 90.00°, β = 101.29°, γ = 90.00°
Atoms (fractional coordinates):
1 Zn 0.000 0.000 0.000
2 Ag 0.159 0.500 0.755
3 Ag 0.841 0.500 0.245
4 Mo 0.500 0.000 0.500

---

RbCdAu after structural relaxation, computed with PBE.

ΔE to the lowest computed polymorph (eV per atom): 0.065
Fermi-level density of states (states/eV/atom): 0.26
Raw total energy (eV/cell): -5.65
M_tot (μB/cell): 0.00

a = 6.843 Å, b = 6.843 Å, c = 6.843 Å
α = 146.96°, β = 146.96°, γ = 47.43°
Atoms (fractional coordinates):
1 Rb 0.000 0.000 0.000
2 Cd 0.279 0.279 0.000
3 Au 0.706 0.706 0.000

---

LiPr2ErTe5 after structural relaxation, computed with PBE.

Uncorrected formation energy (kJ/mol of formula units): -1157
Raw total energy (eV/cell): -87.48
M_tot (μB/cell): 0.00

a = 9.666 Å, b = 9.666 Å, c = 13.246 Å
α = 90.00°, β = 90.00°, γ = 153.55°
Atoms (fractional coordinates):
1 Li 0.060 0.940 0.500
2 Li 0.940 0.060 0.000
3 Pr 0.373 0.627 0.339
4 Pr 0.394 0.606 0.723
5 Pr 0.606 0.394 0.223
6 Pr 0.627 0.373 0.839
7 Er 0.302 0.698 0.046
8 Er 0.698 0.302 0.546
9 Te 0.002 0.998 0.820
10 Te 0.140 0.860 0.035
11 Te 0.190 0.810 0.384
12 Te 0.217 0.783 0.703
13 Te 0.452 0.548 0.108
14 Te 0.548 0.452 0.608
15 Te 0.783 0.217 0.203
16 Te 0.810 0.190 0.884
17 Te 0.860 0.140 0.535
18 Te 0.998 0.002 0.320

---

TlCoHg2Br after structural relaxation, computed with PBE.

Fermi-level density of states (states/eV/atom): 2.27
Uncorrected formation energy (kJ/mol of formula units): 367
Raw total energy (eV/cell): -7.95
M_tot (μB/cell): 3.00

a = 5.963 Å, b = 5.963 Å, c = 5.970 Å
α = 90.00°, β = 90.00°, γ = 90.00°
Atoms (fractional coordinates):
1 Tl 0.000 0.000 0.000
2 Co 0.500 0.500 0.500
3 Hg 0.000 0.500 0.000
4 Hg 0.500 0.000 0.000
5 Br 0.000 0.000 0.500

---

Ce3ZnCo after structural relaxation, computed with PBE.

ΔE to the lowest computed polymorph (eV per atom): 0.084
Fermi-level density of states (states/eV/atom): 2.12
Raw total energy (eV/cell): -53.20
M_tot (μB/cell): 0.67

a = 4.177 Å, b = 5.879 Å, c = 9.480 Å
α = 84.54°, β = 83.79°, γ = 74.19°
Atoms (fractional coordinates):
1 Ce 0.126 0.260 0.495
2 Ce 0.262 0.231 0.015
3 Ce 0.364 0.657 0.700
4 Ce 0.636 0.343 0.300
5 Ce 0.738 0.769 0.985
6 Ce 0.874 0.740 0.505
7 Zn 0.383 0.889 0.277
8 Zn 0.617 0.111 0.723
9 Co 0.013 0.682 0.176
10 Co 0.987 0.318 0.824

---

Cs2Tl2Br7 after structural relaxation, computed with PBE.

ΔE to the lowest computed polymorph (eV per atom): 0.000
Fermi-level density of states (states/eV/atom): 0.42
Uncorrected formation energy (kJ/mol of formula units): -1038
Raw total energy (eV/cell): -57.82
M_tot (μB/cell): 0.00

a = 6.430 Å, b = 17.947 Å, c = 9.709 Å
α = 90.00°, β = 103.09°, γ = 90.00°
Atoms (fractional coordinates):
1 Cs 0.161 0.142 0.452
2 Cs 0.161 0.358 0.952
3 Cs 0.839 0.642 0.048
4 Cs 0.839 0.858 0.548
5 Tl 0.300 0.613 0.619
6 Tl 0.300 0.887 0.119
7 Tl 0.700 0.113 0.881
8 Tl 0.700 0.387 0.381
9 Br 0.053 0.163 0.061
10 Br 0.053 0.337 0.561
11 Br 0.238 0.557 0.870
12 Br 0.238 0.943 0.370
13 Br 0.465 0.234 0.772
14 Br 0.465 0.266 0.272
15 Br 0.500 0.000 0.000
16 Br 0.500 0.500 0.500
17 Br 0.535 0.734 0.728
18 Br 0.535 0.766 0.228
19 Br 0.762 0.057 0.630
20 Br 0.762 0.443 0.130
21 Br 0.947 0.663 0.439
22 Br 0.947 0.837 0.939

---

Li2MnRu after structural relaxation, computed with PBE.

ΔE to the lowest computed polymorph (eV per atom): 0.401
Fermi-level density of states (states/eV/atom): 0.75
Raw total energy (eV/cell): -39.89
M_tot (μB/cell): 7.87

a = 5.393 Å, b = 5.393 Å, c = 5.393 Å
α = 101.55°, β = 101.55°, γ = 126.84°
Atoms (fractional coordinates):
1 Li 0.123 0.625 0.998
2 Li 0.375 0.373 0.498
3 Li 0.627 0.125 0.002
4 Li 0.875 0.877 0.502
5 Mn 0.250 0.750 0.500
6 Mn 0.500 0.500 0.000
7 Ru 0.000 0.000 0.000
8 Ru 0.750 0.250 0.500

---

Pa2POs after structural relaxation, computed with PBE.

ΔE to the lowest computed polymorph (eV per atom): 0.023
Fermi-level density of states (states/eV/atom): 1.45
Raw total energy (eV/cell): -38.55
M_tot (μB/cell): 0.00

a = 7.225 Å, b = 7.225 Å, c = 7.225 Å
α = 31.28°, β = 31.28°, γ = 31.28°
Atoms (fractional coordinates):
1 Pa 0.246 0.246 0.246
2 Pa 0.754 0.754 0.754
3 P 0.000 0.000 0.000
4 Os 0.500 0.500 0.500

---

Zr6NiPd3 after structural relaxation, computed with PBE.

Fermi-level density of states (states/eV/atom): 1.10
Raw total energy (eV/cell): -151.02
M_tot (μB/cell): 0.00

a = 8.074 Å, b = 10.622 Å, c = 4.662 Å
α = 90.00°, β = 90.00°, γ = 90.00°
Atoms (fractional coordinates):
1 Zr 0.005 0.241 0.000
2 Zr 0.161 0.083 0.500
3 Zr 0.179 0.409 0.500
4 Zr 0.321 0.909 0.000
5 Zr 0.339 0.583 0.000
6 Zr 0.495 0.741 0.500
7 Zr 0.505 0.259 0.500
8 Zr 0.661 0.417 0.000
9 Zr 0.679 0.091 0.000
10 Zr 0.821 0.591 0.500
11 Zr 0.839 0.917 0.500
12 Zr 0.995 0.759 0.000
13 Ni 0.000 0.000 0.000
14 Ni 0.500 0.500 0.500
15 Pd 0.000 0.500 0.000
16 Pd 0.159 0.700 0.500
17 Pd 0.341 0.200 0.000
18 Pd 0.500 0.000 0.500
19 Pd 0.659 0.800 0.000
20 Pd 0.841 0.300 0.500

---

SmAlSi2Ni4 after structural relaxation, computed with PBE.

Fermi-level density of states (states/eV/atom): 0.69
Uncorrected formation energy (kJ/mol of formula units): -459
Raw total energy (eV/cell): -47.19
M_tot (μB/cell): 0.00

a = 8.647 Å, b = 8.647 Å, c = 8.647 Å
α = 26.46°, β = 26.46°, γ = 26.46°
Atoms (fractional coordinates):
1 Sm 0.000 0.000 0.000
2 Al 0.500 0.500 0.500
3 Si 0.241 0.241 0.241
4 Si 0.759 0.759 0.759
5 Ni 0.134 0.134 0.134
6 Ni 0.408 0.408 0.408
7 Ni 0.592 0.592 0.592
8 Ni 0.866 0.866 0.866